# 1
DFT (PBE-GGA) results for crystalline ReTcRh2 at its relaxed geometry.

**Formation energy from the elements**: -0.0254 eV/atom
**Total magnetization**: 0.00 Bohr magnetons per cell
**Total DFT energy (no corrections)**: -9.40 eV/atom
**Energy relative to the lowest polymorph listed for this composition**: 0.152 eV per atom

Lattice parameters (Å, degrees): 9.036 9.036 9.036 17.47 17.47 17.47
Element x y z (fractional)
Re  0.000  0.000  0.000
Tc  0.248  0.248  0.248
Rh  0.501  0.501  0.501
Rh  0.748  0.748  0.748

# 2
DFT (PBE-GGA) results for crystalline Re2TcRh at its relaxed geometry.

**Formation energy from the elements**: 0.0037 eV/atom
**Total magnetization**: 0.00 Bohr magnetons per cell
**Total DFT energy (no corrections)**: -10.65 eV/atom
**Energy relative to the lowest polymorph listed for this composition**: 0.047 eV per atom

Lattice parameters (Å, degrees): 4.767 4.767 4.778 99.46 99.46 33.27
Element x y z (fractional)
Re  0.000  0.000  0.000
Re  0.749  0.749  0.254
Tc  0.498  0.498  0.497
Rh  0.250  0.250  0.754